# 1
# Sm3Ge2SbRh9, optimized geometry, DFT GGA-PBE
data_Sm3Ge2SbRh9
_chemical_formula_sum 'Sm3 Ge2 Sb1 Rh9'
_cell_length_a 6.3249
_cell_length_b 6.3249
_cell_length_c 9.1795
_cell_angle_alpha 90.00
_cell_angle_beta 90.00
_cell_angle_gamma 120.00
_space_group_name_H-M_alt 'P -3 m 1'
_space_group_IT_number 164
_space_group_name_Hall '-P 3 2"'
loop_
_atom_site_label
_atom_site_type_symbol
_atom_site_fract_x
_atom_site_fract_y
_atom_site_fract_z
Sm1 Sm 0.0000 0.0000 0.0000
Sm2 Sm 0.3333 0.6667 0.7371
Ge1 Ge 0.3333 0.6667 0.1707
Sb1 Sb 0.0000 0.0000 0.5000
Rh1 Rh 0.0000 0.5000 0.0000
Rh2 Rh 0.1410 0.2821 0.2711
# **Final energy**: -99.8 eV for the cell shown
# **Formation energy from raw total energies**: -0.41 eV per atom
# **ρ**: 8.59 g cm⁻³
# **Total moment**: 0.0 μB per cell

# 2
# Tb2MgCd4, optimized geometry, DFT GGA-PBE
data_Tb2MgCd4
_chemical_formula_sum 'Tb6 Mg3 Cd12'
_cell_length_a 5.0723
_cell_length_b 5.0723
_cell_length_c 24.9239
_cell_angle_alpha 90.00
_cell_angle_beta 90.00
_cell_angle_gamma 120.00
_space_group_name_H-M_alt 'R -3 m'
_space_group_IT_number 166
_space_group_name_Hall '-R 3 2"'
loop_
_atom_site_label
_atom_site_type_symbol
_atom_site_fract_x
_atom_site_fract_y
_atom_site_fract_z
Tb1 Tb 0.0000 0.0000 0.2473
Mg1 Mg 0.0000 0.0000 0.5000
Cd1 Cd 0.0000 0.0000 0.1219
Cd2 Cd 0.0000 0.0000 0.3727
# **Formation energy**: -0.125 eV per atom
# **Final energy**: -46.2 eV for the cell shown
# **ρ**: 7.10 g cm⁻³
# **Total moment**: 0.0 μB per cell

# 3
# Ac2Pr8Nd3, optimized geometry, DFT GGA-PBE
data_Ac2Pr8Nd3
_chemical_formula_sum 'Ac6 Pr24 Nd9'
_cell_length_a 6.7975
_cell_length_b 6.7975
_cell_length_c 38.0301
_cell_angle_alpha 90.00
_cell_angle_beta 90.00
_cell_angle_gamma 120.00
_space_group_name_H-M_alt 'R -3 m'
_space_group_IT_number 166
_space_group_name_Hall '-R 3 2"'
loop_
_atom_site_label
_atom_site_type_symbol
_atom_site_fract_x
_atom_site_fract_y
_atom_site_fract_z
Ac1 Ac 0.0000 0.0000 0.1398
Pr1 Pr 0.0000 0.0000 0.2267
Pr2 Pr 0.0009 0.5004 0.7211
Nd1 Nd 0.0000 0.0000 0.3122
Nd2 Nd 0.0000 0.0000 0.5000
# **Formation energy**: 0.252 eV per atom
# **Final energy**: -172.4 eV for the cell shown
# **ρ**: 6.59 g cm⁻³
# **Total moment**: 0.0 μB per cell

# 4
# NdTh2ScSb5, optimized geometry, DFT GGA-PBE
data_NdTh2ScSb5
_chemical_formula_sum 'Nd1 Th2 Sc1 Sb5'
_cell_length_a 5.007
_cell_length_b 5.007
_cell_length_c 11.699
_cell_angle_alpha 90.00
_cell_angle_beta 90.00
_cell_angle_gamma 90.00
_space_group_name_H-M_alt 'P 4/m m m'
_space_group_IT_number 123
_space_group_name_Hall '-P 4 2'
loop_
_atom_site_label
_atom_site_type_symbol
_atom_site_fract_x
_atom_site_fract_y
_atom_site_fract_z
Nd1 Nd 0.000 0.000 0.000
Th1 Th 0.500 0.500 0.287
Sc1 Sc 0.000 0.000 0.500
Sb1 Sb 0.000 0.000 0.254
Sb2 Sb 0.000 0.500 0.500
Sb3 Sb 0.500 0.500 0.000
# **Final energy**: -50.3 eV for the cell shown
# **Formation energy from raw total energies**: -0.42 eV per atom
# **ρ**: 7.14 g cm⁻³
# **Total moment**: 0.0 μB per cell